Record 1
DFT (PBE) results for crystalline Ni8GeSb2 at its relaxed geometry.

Geometry as extended XYZ:
```
11
Lattice="-1.832 3.605 5.495 1.832 -3.605 5.495 1.832 3.605 -5.495" Properties=species:S:1:pos:R:3 pbc="T T T"
Ni 1.832 1.758 -1.805
Ni 0.000 0.000 1.880
Ni 0.000 1.671 0.000
Ni 1.832 1.758 1.805
Ni 0.000 1.847 3.691
Ni 0.000 5.538 0.000
Ni 0.000 0.000 9.110
Ni 0.000 1.847 7.300
Ge 1.832 0.000 0.000
Sb 1.832 0.000 3.810
Sb 0.000 3.605 1.685
```

Properties
energy: -5.55 eV per atom
formation energy (no corrections): -0.174 eV per atom
polymorph energy (0 for the lowest one): 0.000 kcal/mol of atoms
space group: Immm



Record 2
DFT (PBE) results for crystalline NiGeSb3 at its relaxed geometry.

Geometry as extended XYZ:
```
5
Lattice="5.001 0.000 0.000 0.000 5.001 0.000 0.000 0.000 5.001" Properties=species:S:1:pos:R:3 pbc="T T T"
Ni 0.000 0.000 0.000
Ge 2.500 2.500 2.500
Sb 0.000 0.000 2.500
Sb 0.000 2.500 0.000
Sb 2.500 0.000 0.000
```

Properties
energy: -4.15 eV per atom
formation energy (no corrections): 0.400 eV per atom
polymorph energy (0 for the lowest one): 0.000 kcal/mol of atoms
space group: Pm-3m



Copy entry 1 word for word.
DFT (PBE) results for crystalline Ni8GeSb2 at its relaxed geometry.

Geometry as extended XYZ:
```
11
Lattice="-1.832 3.605 5.495 1.832 -3.605 5.495 1.832 3.605 -5.495" Properties=species:S:1:pos:R:3 pbc="T T T"
Ni 1.832 1.758 -1.805
Ni 0.000 0.000 1.880
Ni 0.000 1.671 0.000
Ni 1.832 1.758 1.805
Ni 0.000 1.847 3.691
Ni 0.000 5.538 0.000
Ni 0.000 0.000 9.110
Ni 0.000 1.847 7.300
Ge 1.832 0.000 0.000
Sb 1.832 0.000 3.810
Sb 0.000 3.605 1.685
```

Properties
energy: -5.55 eV per atom
formation energy (no corrections): -0.174 eV per atom
polymorph energy (0 for the lowest one): 0.000 kcal/mol of atoms
space group: Immm